# 1
Entry from Alexandria via LeMat-Bulk: crystalline KAgTe at its relaxed geometry (PBEsol).

Unit cell a=4.697 b=4.697 c=4.897 alpha=90.00 beta=90.00 gamma=120.00
Atoms (fractional coordinates):
K 0.333 0.667 0.000
Te 0.667 0.333 0.500
Ag 0.000 0.000 0.500

- VASP energy: -3.257 eV/atom
- E_form (uncorrected): -0.600 eV per atom

***

# 2
Entry from Alexandria via LeMat-Bulk: crystalline SiMoRu at its relaxed geometry (PBEsol).

Unit cell a=2.771 b=2.771 c=6.207 alpha=90.00 beta=90.00 gamma=120.00
Atoms (fractional coordinates):
Mo 0.000 0.000 0.000
Ru 0.667 0.333 0.657
Si 0.333 0.667 0.343

- VASP energy: -9.374 eV/atom
- E_form (uncorrected): -0.145 eV per atom

***

# 3
Entry from Alexandria via LeMat-Bulk: crystalline NiTePtN2 at its relaxed geometry (PBEsol).

Unit cell a=3.690 b=3.690 c=5.507 alpha=90.00 beta=90.00 gamma=90.00
Atoms (fractional coordinates):
Ni 0.000 0.000 0.000
Te 0.000 0.000 0.500
Pt 0.500 0.500 0.500
N 0.000 0.500 0.000
N 0.500 0.000 0.000

- VASP energy: -5.541 eV/atom
- E_form (uncorrected): 1.199 eV per atom

***

# 4
Entry from Alexandria via LeMat-Bulk: crystalline ZnCo2Os at its relaxed geometry (PBEsol).

Unit cell a=2.607 b=2.607 c=6.865 alpha=90.00 beta=90.00 gamma=90.00
Atoms (fractional coordinates):
Os 0.500 0.500 0.000
Zn 0.500 0.500 0.500
Co 0.000 0.000 0.751
Co 0.000 0.000 0.249

- Formation energy: -0.01 eV per atom
- VASP energy: -7.323 eV/atom

***

# 5
Entry from Alexandria via LeMat-Bulk: crystalline TaTlCo2 at its relaxed geometry (PBEsol).

Unit cell a=3.675 b=3.675 c=4.987 alpha=111.62 beta=111.62 gamma=90.00
Atoms (fractional coordinates):
Tl 0.250 0.750 0.500
Co 0.000 0.000 0.000
Co 0.750 0.250 0.500
Ta 0.500 0.500 0.000

- Formation energy: 0.31 eV per atom
- VASP energy: -7.358 eV/atom

***

# 6
Entry from Alexandria via LeMat-Bulk: crystalline LiGe2Ir2 at its relaxed geometry (PBEsol).

Unit cell a=4.085 b=4.085 c=5.832 alpha=110.50 beta=110.50 gamma=90.00
Atoms (fractional coordinates):
Ge 0.379 0.379 0.758
Ge 0.621 0.621 0.242
Ir 0.250 0.750 0.500
Ir 0.750 0.250 0.500
Li 0.000 0.000 0.000

- Formation energy: -0.34 eV per atom
- VASP energy: -6.635 eV/atom

***

Repeat the first record exactly.
Entry from Alexandria via LeMat-Bulk: crystalline KAgTe at its relaxed geometry (PBEsol).

Unit cell a=4.697 b=4.697 c=4.897 alpha=90.00 beta=90.00 gamma=120.00
Atoms (fractional coordinates):
K 0.333 0.667 0.000
Te 0.667 0.333 0.500
Ag 0.000 0.000 0.500

- VASP energy: -3.257 eV/atom
- E_form (uncorrected): -0.600 eV per atom